Density functional theory data (PBE-GGA) for crystalline TcAgSn2 at its relaxed geometry.

a = 3.4418 Å, b = 3.4418 Å, c = 6.5305 Å
α = 90.00°, β = 90.00°, γ = 90.00°
Fractional coordinates of all 4 atoms:
1 Sn 0.0000 0.0000 0.2326
2 Sn 0.0000 0.0000 0.7674
3 Tc 0.5000 0.5000 0.0000
4 Ag 0.5000 0.5000 0.5000

Summary:
Its volume is 19.340 A^3/atom. Its energy above the most stable polymorph in this dataset is 0 meV/atom. Its total energy is -5.13 eV/atom. The calculated density is 9.5 g/cm3.